5
Lattice="5.834 0.000 0.000 0.000 5.834 0.000 0.000 0.000 5.894" Properties=species:S:1:pos:R:3 comment="KGaAsSe2 PBE relaxed" de_polymorph_ev_per_atom=1.0378 volume_a3_per_fu=201 magmom_total_mub_per_atom=0.584 raw_formation_energy_ev_per_atom=0.94 dft_energy_ev_per_atom=-2.2105 space_group="No. 123" pbc="T T T"
K 0.000 0.000 0.000
Ga 2.917 2.917 2.947
As 0.000 0.000 2.947
Se 0.000 2.917 0.000
Se 2.917 0.000 0.000

16
Lattice="0.000 7.121 11.557 3.197 0.000 11.557 3.197 7.121 0.000" Properties=species:S:1:pos:R:3 comment="K2GaAsSe4 PBE relaxed" volume_a3_per_fu=263 magmom_total_mub_per_atom=0.000 raw_formation_energy_ev_per_atom=-0.71 dft_energy_ev_per_atom=-3.6817 space_group="No. 70" pbc="T T T"
K 2.398 5.341 1.330
K 3.996 8.901 7.109
K 2.398 5.341 16.006
K 3.996 8.901 21.785
Ga 0.799 1.780 2.889
Ga 5.595 12.461 20.226
As 2.398 5.341 8.668
As 3.996 8.901 14.447
Se 2.264 3.218 4.211
Se 4.130 6.779 9.990
Se 2.532 7.463 4.211
Se 2.532 3.218 13.125
Se 3.862 11.023 9.990
Se 3.862 6.779 18.904
Se 2.264 7.463 13.125
Se 4.130 11.023 18.904

5
Lattice="4.947 0.000 0.000 0.000 4.947 0.000 0.000 0.000 4.862" Properties=species:S:1:pos:R:3 comment="KGa2TcAs PBE relaxed" volume_a3_per_fu=119 magmom_total_mub_per_atom=0.000 dft_energy_ev_per_atom=-4.5857 space_group="No. 123" pbc="T T T"
K 0.000 0.000 0.000
Ga 0.000 2.474 2.431
Ga 2.474 0.000 2.431
Tc 2.474 2.474 2.431
As 2.474 2.474 0.000

12
Lattice="9.597 0.000 0.000 0.000 4.278 0.000 -2.669 0.000 10.611" Properties=species:S:1:pos:R:3 comment="KGaTe3As PBE relaxed" volume_a3_per_fu=218 magmom_total_mub_per_atom=0.000 raw_formation_energy_ev_per_atom=-0.35 dft_energy_ev_per_atom=-3.3788 space_group="No. 11" pbc="T T T"
K 1.141 1.069 2.255
K 5.787 3.208 8.356
Ga -0.863 1.069 6.547
Ga 7.792 3.208 4.064
Te -0.998 1.069 9.152
Te 0.515 3.208 5.574
Te 3.937 3.208 1.504
Te 2.992 1.069 9.107
Te 6.413 1.069 5.037
Te 7.927 3.208 1.459
As 1.188 3.208 9.111
As 5.740 1.069 1.500

10
Lattice="6.618 -2.072 0.000 6.618 2.072 0.000 -1.478 0.000 9.658" Properties=species:S:1:pos:R:3 comment="KZnGaAs2 PBE relaxed" volume_a3_per_fu=132 magmom_total_mub_per_atom=0.000 dft_energy_ev_per_atom=-3.3080 space_group="No. 12" pbc="T T T"
K 1.835 0.000 1.616
K 9.924 0.000 8.042
Zn 1.450 0.000 5.581
Zn 10.309 0.000 4.077
Ga 5.506 0.000 3.018
Ga 6.253 0.000 6.640
As 0.358 0.000 7.892
As 4.080 0.000 5.423
As 7.678 0.000 4.236
As 11.401 0.000 1.767

5
Lattice="5.669 0.000 0.000 0.000 5.669 0.000 0.000 0.000 5.669" Properties=species:S:1:pos:R:3 comment="LaGa3As PBE relaxed" de_polymorph_ev_per_atom=0.9273 volume_a3_per_fu=182 magmom_total_mub_per_atom=0.000 dft_energy_ev_per_atom=-2.7772 space_group="No. 221" pbc="T T T"
La 0.000 0.000 0.000
Ga 0.000 0.000 2.834
Ga 0.000 2.834 0.000
Ga 2.834 0.000 0.000
As 2.834 2.834 2.834

4
Lattice="0.000 3.760 3.760 3.760 0.000 3.760 3.760 3.760 0.000" Properties=species:S:1:pos:R:3 comment="La2GaAs PBE relaxed" de_polymorph_ev_per_atom=0.3148 volume_a3_per_fu=106 magmom_total_mub_per_atom=0.000 dft_energy_ev_per_atom=-5.1341 space_group="No. 225" pbc="T T T"
La 1.880 1.880 1.880
La 5.640 5.640 5.640
Ga 0.000 0.000 0.000
As 3.760 3.760 3.760

8
Lattice="2.223 -12.388 0.000 2.223 12.388 0.000 0.000 0.000 4.310" Properties=species:S:1:pos:R:3 comment="La2GaAs PBE relaxed" de_polymorph_ev_per_atom=0.0000 volume_a3_per_fu=119 magmom_total_mub_per_atom=0.000 dft_energy_ev_per_atom=-5.4490 space_group="No. 63" pbc="T T T"
La 2.223 10.739 3.233
La 2.223 4.677 3.233
La 2.223 -4.677 1.078
La 2.223 -10.739 1.078
Ga 2.223 0.800 3.233
Ga 2.223 -0.800 1.078
As 2.223 7.716 3.233
As 2.223 -7.716 1.078

4
Lattice="2.022 1.168 10.000 -2.022 1.168 10.000 0.000 -2.335 10.000" Properties=species:S:1:pos:R:3 comment="La2GaAs PBE relaxed" de_polymorph_ev_per_atom=0.5797 volume_a3_per_fu=142 magmom_total_mub_per_atom=0.000 dft_energy_ev_per_atom=-4.8692 space_group="No. 166" pbc="T T T"
La 0.000 0.000 3.201
La 0.000 0.000 26.798
Ga 0.000 0.000 0.000
As 0.000 0.000 14.999

5
Lattice="5.055 0.000 0.000 0.000 5.055 0.000 0.000 0.000 5.055" Properties=species:S:1:pos:R:3 comment="LaGa3As PBE relaxed" de_polymorph_ev_per_atom=0.0000 volume_a3_per_fu=129 magmom_total_mub_per_atom=0.000 dft_energy_ev_per_atom=-3.7045 space_group="No. 221" pbc="T T T"
La 0.000 0.000 0.000
Ga 0.000 2.527 2.527
Ga 2.527 0.000 2.527
Ga 2.527 2.527 0.000
As 2.527 2.527 2.527

16
Lattice="8.748 0.000 0.000 0.000 12.611 0.000 0.000 0.000 4.520" Properties=species:S:1:pos:R:3 comment="La5Ga2As PBE relaxed" volume_a3_per_fu=249 magmom_total_mub_per_atom=0.002 dft_energy_ev_per_atom=-5.0352 space_group="No. 55" pbc="T T T"
La 0.000 0.000 0.000
La 1.433 3.700 0.000
La 1.698 7.326 2.260
La 2.676 1.021 2.260
La 2.941 10.005 0.000
La 4.374 6.305 0.000
La 5.807 2.606 0.000
La 6.072 11.590 2.260
La 7.050 5.285 2.260
La 7.315 8.911 0.000
Ga 0.533 10.378 2.260
Ga 3.841 4.073 2.260
Ga 4.908 8.538 2.260
Ga 8.215 2.233 2.260
As 0.000 6.305 0.000
As 4.374 0.000 0.000

6
Lattice="2.480 1.432 7.994 -2.480 1.432 7.994 0.000 -2.863 7.994" Properties=species:S:1:pos:R:3 comment="LaGaAs PBE relaxed" volume_a3_per_fu=85 magmom_total_mub_per_atom=0.000 dft_energy_ev_per_atom=-5.0356 space_group="No. 166" pbc="T T T"
La 0.000 0.000 2.228
La 0.000 0.000 21.754
Ga 0.000 0.000 7.785
Ga 0.000 0.000 16.198
As 0.000 0.000 5.221
As 0.000 0.000 18.761

5
Lattice="5.157 0.000 0.000 0.000 5.157 0.000 0.000 0.000 4.724" Properties=species:S:1:pos:R:3 comment="LiLaGa2As PBE relaxed" volume_a3_per_fu=126 magmom_total_mub_per_atom=0.000 dft_energy_ev_per_atom=-3.6427 space_group="No. 123" pbc="T T T"
Li 0.000 0.000 0.000
La 2.578 2.578 0.000
Ga 0.000 2.578 2.362
Ga 2.578 0.000 2.362
As 0.000 0.000 2.362

10
Lattice="4.187 0.000 0.000 0.000 4.187 0.000 0.000 0.000 9.820" Properties=species:S:1:pos:R:3 comment="La2GaNi4As3 PBE relaxed" volume_a3_per_fu=172 magmom_total_mub_per_atom=0.000 dft_energy_ev_per_atom=-5.8319 space_group="No. 115" pbc="T T T"
La 0.000 2.094 2.399
La 2.094 0.000 7.420
Ga 0.000 0.000 4.910
Ni 0.000 0.000 0.000
Ni 0.000 2.094 6.148
Ni 2.094 0.000 3.672
Ni 2.094 2.094 0.000
As 0.000 2.094 8.552
As 2.094 0.000 1.268
As 2.094 2.094 4.910

10
Lattice="4.369 0.000 0.000 0.000 4.369 0.000 0.000 0.000 9.577" Properties=species:S:1:pos:R:3 comment="La2GaNi3As4 PBE relaxed" volume_a3_per_fu=183 magmom_total_mub_per_atom=0.000 dft_energy_ev_per_atom=-5.6494 space_group="No. 115" pbc="T T T"
La 0.000 2.184 2.320
La 2.184 0.000 7.256
Ga 0.000 0.000 4.788
Ni 0.000 2.184 8.509
Ni 2.184 0.000 1.068
Ni 2.184 2.184 4.788
As 0.000 0.000 0.000
As 0.000 2.184 6.123
As 2.184 0.000 3.454
As 2.184 2.184 0.000

12
Lattice="-3.645 3.645 3.097 3.645 -3.645 3.097 3.645 3.645 -3.097" Properties=species:S:1:pos:R:3 comment="LaGaAs2O8 PBE relaxed" volume_a3_per_fu=165 magmom_total_mub_per_atom=0.000 raw_formation_energy_ev_per_atom=-1.70 dft_energy_ev_per_atom=-6.4388 space_group="No. 119" pbc="T T T"
La 0.000 0.000 0.000
Ga 3.645 0.000 1.549
As 0.000 0.000 3.097
As 0.000 3.645 1.549
O 2.277 3.645 -1.059
O 1.368 0.000 2.038
O 0.000 2.413 0.333
O 3.645 2.277 1.059
O 0.000 4.877 0.333
O 0.000 1.368 4.156
O -1.232 3.645 2.764
O 1.232 3.645 2.764

5
Lattice="5.643 0.000 0.000 0.000 5.643 0.000 0.000 0.000 5.670" Properties=species:S:1:pos:R:3 comment="LaGaAs2Pb PBE relaxed" volume_a3_per_fu=181 magmom_total_mub_per_atom=0.000 dft_energy_ev_per_atom=-3.7858 space_group="No. 123" pbc="T T T"
La 0.000 0.000 0.000
Ga 0.000 0.000 2.835
As 0.000 2.822 0.000
As 2.822 0.000 0.000
Pb 2.822 2.822 2.835

10
Lattice="4.335 0.000 0.000 0.000 4.335 0.000 0.000 0.000 10.541" Properties=species:S:1:pos:R:3 comment="La2GaAs3Pd4 PBE relaxed" volume_a3_per_fu=198 magmom_total_mub_per_atom=0.000 dft_energy_ev_per_atom=-5.7045 space_group="No. 115" pbc="T T T"
La 0.000 2.167 2.567
La 2.167 0.000 7.975
Ga 0.000 0.000 5.271
As 0.000 2.167 9.114
As 2.167 0.000 1.427
As 2.167 2.167 5.271
Pd 0.000 0.000 0.000
Pd 0.000 2.167 6.636
Pd 2.167 0.000 3.905
Pd 2.167 2.167 0.000

10
Lattice="4.548 0.000 0.000 0.000 4.548 0.000 0.000 0.000 9.925" Properties=species:S:1:pos:R:3 comment="La2GaAs4Pd3 PBE relaxed" volume_a3_per_fu=205 magmom_total_mub_per_atom=0.000 dft_energy_ev_per_atom=-5.5424 space_group="No. 115" pbc="T T T"
La 0.000 2.274 2.391
La 2.274 0.000 7.534
Ga 0.000 0.000 4.962
As 0.000 0.000 0.000
As 0.000 2.274 6.290
As 2.274 0.000 3.635
As 2.274 2.274 0.000
Pd 0.000 2.274 8.762
Pd 2.274 0.000 1.163
Pd 2.274 2.274 4.962

10
Lattice="5.521 0.000 0.000 2.751 5.963 0.000 2.760 0.292 6.059" Properties=species:S:1:pos:R:3 comment="La2GaAsPd6 PBE relaxed" volume_a3_per_fu=199 magmom_total_mub_per_atom=0.000 dft_energy_ev_per_atom=-5.6161 space_group="No. 2" pbc="T T T"
La 1.375 1.469 1.476
La 9.656 4.786 4.583
Ga 4.136 2.982 0.000
As 4.140 0.146 3.029
Pd 2.749 4.722 1.276
Pd 4.129 2.619 2.508
Pd 5.508 1.539 4.779
Pd 5.524 4.716 1.280
Pd 6.902 3.636 3.551
Pd 8.282 1.533 4.783

10
Lattice="4.413 0.000 0.000 0.000 4.413 0.000 0.000 0.000 10.237" Properties=species:S:1:pos:R:3 comment="La2Ga3AsPt4 PBE relaxed" volume_a3_per_fu=199 magmom_total_mub_per_atom=0.000 dft_energy_ev_per_atom=-5.7626 space_group="No. 115" pbc="T T T"
La 0.000 2.207 2.522
La 2.207 0.000 7.716
Ga 0.000 0.000 0.000
Ga 0.000 2.207 6.422
Ga 2.207 0.000 3.816
As 2.207 2.207 0.000
Pt 0.000 0.000 5.119
Pt 0.000 2.207 8.926
Pt 2.207 0.000 1.311
Pt 2.207 2.207 5.119

10
Lattice="4.388 0.000 0.000 0.000 4.388 0.000 0.000 0.000 10.357" Properties=species:S:1:pos:R:3 comment="La2GaAs3Pt4 PBE relaxed" volume_a3_per_fu=199 magmom_total_mub_per_atom=0.000 dft_energy_ev_per_atom=-6.0705 space_group="No. 115" pbc="T T T"
La 0.000 2.194 2.522
La 2.194 0.000 7.835
Ga 0.000 0.000 5.179
As 0.000 2.194 8.967
As 2.194 0.000 1.390
As 2.194 2.194 5.179
Pt 0.000 0.000 0.000
Pt 0.000 2.194 6.486
Pt 2.194 0.000 3.871
Pt 2.194 2.194 0.000

10
Lattice="6.023 -2.753 0.000 6.023 2.753 0.000 -5.768 0.000 6.280" Properties=species:S:1:pos:R:3 comment="La2GaAsPt6 PBE relaxed" volume_a3_per_fu=208 magmom_total_mub_per_atom=0.000 dft_energy_ev_per_atom=-6.2264 space_group="No. 12" pbc="T T T"
La 1.751 0.000 1.312
La 4.527 0.000 4.968
Ga 6.023 0.000 0.000
As -2.884 0.000 3.140
Pt 4.557 1.379 1.546
Pt -0.468 0.000 3.822
Pt 1.721 1.379 4.734
Pt 4.557 -1.379 1.546
Pt 6.746 0.000 2.458
Pt 1.721 -1.379 4.734

10
Lattice="4.471 0.000 0.000 0.000 4.471 0.000 0.000 0.000 9.783" Properties=species:S:1:pos:R:3 comment="La2GaAs4Rh3 PBE relaxed" volume_a3_per_fu=196 magmom_total_mub_per_atom=0.000 dft_energy_ev_per_atom=-6.2365 space_group="No. 115" pbc="T T T"
La 0.000 2.235 2.368
La 2.235 0.000 7.415
Ga 0.000 0.000 4.891
As 0.000 0.000 0.000
As 0.000 2.235 6.216
As 2.235 0.000 3.567
As 2.235 2.235 0.000
Rh 0.000 2.235 8.673
Rh 2.235 0.000 1.110
Rh 2.235 2.235 4.891